(1)
The following is a DFT calculation (PBEsol) of an optimized crystal structure of Al2CuTc.

* N(E_F): 0.91 states/eV per cell
* E above lowest polymorph: 0.063 eV per atom
* space group: I-4m2
* ΔH_f (0 K): -117 kJ/mol of formula units

Lattice parameters (Å, degrees): 4.9157 4.9157 4.9157 137.67 137.67 61.40
Atoms (fractional coordinates):
Al  0.0000  0.0000  0.0000
Al  0.7500  0.2500  0.5000
Cu  0.5000  0.5000  0.0000
Tc  0.2500  0.7500  0.5000


(2)
The following is a DFT calculation (PBEsol) of an optimized crystal structure of AlCuTc.

* N(E_F): 3.50 states/eV per cell
* E above lowest polymorph: 0.401 eV per atom
* space group: F-43m
* ΔH_f (0 K): 123 kJ/mol of formula units

Lattice parameters (Å, degrees): 3.9920 3.9920 3.9920 60.00 60.00 60.00
Atoms (fractional coordinates):
Al  0.0000  0.0000  0.0000
Cu  0.2500  0.2500  0.2500
Tc  0.5000  0.5000  0.5000


(3)
The following is a DFT calculation (PBEsol) of an optimized crystal structure of Al2CuTc.

* N(E_F): 1.22 states/eV per cell
* E above lowest polymorph: 0.000 eV per atom
* space group: P4/mmm
* ΔH_f (0 K): -141 kJ/mol of formula units

Lattice parameters (Å, degrees): 4.0681 4.0681 3.1886 90.00 90.00 90.00
Atoms (fractional coordinates):
Al  0.0000  0.5000  0.0000
Al  0.5000  0.0000  0.0000
Cu  0.0000  0.0000  0.5000
Tc  0.5000  0.5000  0.5000


(4)
The following is a DFT calculation (PBEsol) of an optimized crystal structure of AlCuTc3.

* N(E_F): 7.10 states/eV per cell
* space group: Pm-3m
* ΔH_f (0 K): 768 kJ/mol of formula units

Lattice parameters (Å, degrees): 4.3743 4.3743 4.3743 90.00 90.00 90.00
Atoms (fractional coordinates):
Al  0.0000  0.0000  0.0000
Cu  0.5000  0.5000  0.5000
Tc  0.0000  0.5000  0.5000
Tc  0.5000  0.0000  0.5000
Tc  0.5000  0.5000  0.0000


(5)
The following is a DFT calculation (PBEsol) of an optimized crystal structure of Al2CuTc.

* N(E_F): 3.48 states/eV per cell
* E above lowest polymorph: 0.251 eV per atom
* space group: R-3m
* ΔH_f (0 K): -44 kJ/mol of formula units

Lattice parameters (Å, degrees): 8.4819 8.4819 8.4819 18.79 18.79 18.79
Atoms (fractional coordinates):
Al  0.2488  0.2488  0.2488
Al  0.7512  0.7512  0.7512
Cu  0.5000  0.5000  0.5000
Tc  0.0000  0.0000  0.0000


(6)
The following is a DFT calculation (PBEsol) of an optimized crystal structure of Al2CuTc.

* N(E_F): 2.76 states/eV per cell
* E above lowest polymorph: 0.074 eV per atom
* space group: P4/mmm
* ΔH_f (0 K): -112 kJ/mol of formula units

Lattice parameters (Å, degrees): 3.0858 3.0858 5.6462 90.00 90.00 90.00
Atoms (fractional coordinates):
Al  0.0000  0.0000  0.2420
Al  0.0000  0.0000  0.7580
Cu  0.5000  0.5000  0.5000
Tc  0.5000  0.5000  0.0000


(7)
The following is a DFT calculation (PBEsol) of an optimized crystal structure of Al2CuTc.

* N(E_F): 3.08 states/eV per cell
* E above lowest polymorph: 0.398 eV per atom
* space group: R3m
* ΔH_f (0 K): 13 kJ/mol of formula units

Lattice parameters (Å, degrees): 8.6003 8.6003 8.6003 18.52 18.52 18.52
Atoms (fractional coordinates):
Al  0.0000  0.0000  0.0000
Al  0.2423  0.2423  0.2423
Cu  0.7440  0.7440  0.7440
Tc  0.4938  0.4938  0.4938


(8)
The following is a DFT calculation (PBEsol) of an optimized crystal structure of AlCuTc.

* N(E_F): 3.52 states/eV per cell
* E above lowest polymorph: 0.000 eV per atom
* space group: I4mm
* ΔH_f (0 K): 7 kJ/mol of formula units

Lattice parameters (Å, degrees): 5.7561 5.7561 5.7561 152.89 152.89 38.71
Atoms (fractional coordinates):
Al  0.0000  0.0000  0.0000
Cu  0.6581  0.6581  0.0000
Tc  0.3274  0.3274  0.0000


(9)
The following is a DFT calculation (PBEsol) of an optimized crystal structure of AlCuTe.

* N(E_F): 1.40 states/eV per cell
* space group: I4mm
* formation energy (no corrections): 0.216 eV/atom

Lattice parameters (Å, degrees): 6.2967 6.2967 6.2967 151.54 151.54 40.68
Atoms (fractional coordinates):
Al  0.0000  0.0000  0.0000
Cu  0.6080  0.6080  0.0000
Te  0.2878  0.2878  0.0000


(10)
The following is a DFT calculation (PBEsol) of an optimized crystal structure of AlCuTe2.

* N(E_F): 1.95 states/eV per cell
* space group: Pmmm
* formation energy (no corrections): 0.227 eV/atom

Lattice parameters (Å, degrees): 3.7378 3.8900 6.5042 90.00 90.00 90.00
Atoms (fractional coordinates):
Al  0.0000  0.0000  0.0000
Cu  0.0000  0.5000  0.5000
Te  0.5000  0.0000  0.5000
Te  0.5000  0.5000  0.0000


(11)
The following is a DFT calculation (PBEsol) of an optimized crystal structure of AlCuTe2.

* space group: Pm
* formation energy (no corrections): -0.254 eV/atom

Lattice parameters (Å, degrees): 4.0494 4.0470 6.2376 90.00 90.34 90.00
Atoms (fractional coordinates):
Al  0.0000  0.0000  0.0000
Cu  0.5200  0.5000  0.9999
Te  0.0148  0.5000  0.7242
Te  0.4998  0.0000  0.2757


(12)
The following is a DFT calculation (PBEsol) of an optimized crystal structure of Al2CuTe.

* N(E_F): 1.51 states/eV per cell
* space group: P4/mmm
* formation energy (no corrections): 0.233 eV/atom

Lattice parameters (Å, degrees): 3.8908 3.8908 4.9179 90.00 90.00 90.00
Atoms (fractional coordinates):
Al  0.0000  0.5000  0.0000
Al  0.5000  0.0000  0.0000
Cu  0.0000  0.0000  0.5000
Te  0.5000  0.5000  0.5000


What did the tenth record say?
The following is a DFT calculation (PBEsol) of an optimized crystal structure of AlCuTe2.

* N(E_F): 1.95 states/eV per cell
* space group: Pmmm
* formation energy (no corrections): 0.227 eV/atom

Lattice parameters (Å, degrees): 3.7378 3.8900 6.5042 90.00 90.00 90.00
Atoms (fractional coordinates):
Al  0.0000  0.0000  0.0000
Cu  0.0000  0.5000  0.5000
Te  0.5000  0.0000  0.5000
Te  0.5000  0.5000  0.0000